(1)
HoNbCo: relaxed, PBE.

a = 5.074 Å, b = 9.424 Å, c = 18.317 Å
α = 90.00°, β = 90.00°, γ = 90.00°
Space group Fddd (No. 70, origin choice 2)
Symmetry-distinct sites (fractional):
Ho: 0.125 0.287 0.125 x16
Nb: 0.125 0.125 0.543 x16
Co: 0.125 0.125 0.000 x16

Summary:
ΔH_f (0 K) = -0.0267 eV per atom
Total energy = -349.3 eV/cell


(2)
Ho3NbCo8: relaxed, PBE.

a = 4.9680 Å, b = 4.9680 Å, c = 24.3717 Å
α = 90.00°, β = 90.00°, γ = 120.00°
Space group R3m (No. 160, hexagonal axes)
Symmetry-distinct sites (fractional):
Ho: 0.0000 0.0000 0.0000 x3
Ho: 0.0000 0.0000 0.1263 x3
Ho: 0.0000 0.0000 0.5021 x3
Nb: 0.0000 0.0000 0.6247 x3
Co: 0.0000 0.0000 0.3130 x3
Co: 0.0000 0.0000 0.8133 x3
Co: 0.0057 0.5028 0.5664 x9
Co: 0.1688 0.3376 0.3937 x9

Summary:
ΔH_f (0 K) = -0.1641 eV per atom
Total energy = -247.9 eV/cell


(3)
HoNbCoOs: relaxed, PBE.

a = 6.492 Å, b = 6.492 Å, c = 6.492 Å
α = 90.00°, β = 90.00°, γ = 90.00°
Space group F-43m (No. 216)
Symmetry-distinct sites (fractional):
Ho: 0.000 0.000 0.000 x4
Nb: 0.000 0.000 0.500 x4
Co: 0.250 0.250 0.750 x4
Os: 0.250 0.250 0.250 x4

Summary:
ΔH_f (0 K) = -0.1070 eV per atom
Total energy = -133.6 eV/cell


(4)
NdHo12Co6: relaxed, PBE.

a = 9.734 Å, b = 9.734 Å, c = 9.734 Å
α = 90.00°, β = 90.00°, γ = 90.00°
Space group Im-3 (No. 204)
Symmetry-distinct sites (fractional):
Nd: 0.000 0.000 0.000 x2
Ho: 0.000 0.309 0.194 x24
Co: 0.000 0.113 0.500 x12

Summary:
ΔH_f (0 K) = -0.1447 eV per atom
Total energy = -210.2 eV/cell


(5)
NdHo2Co9: relaxed, PBE.

a = 5.0147 Å, b = 5.0147 Å, c = 24.2621 Å
α = 90.00°, β = 90.00°, γ = 120.00°
Space group R-3m (No. 166, hexagonal axes)
Symmetry-distinct sites (fractional):
Nd: 0.0000 0.0000 0.0000 x3
Ho: 0.0000 0.0000 0.1403 x6
Co: 0.0000 0.0000 0.3352 x6
Co: 0.0000 0.0000 0.5000 x3
Co: 0.0038 0.5019 0.9176 x18

Summary:
ΔH_f (0 K) = -0.1484 eV per atom
Total energy = -239.0 eV/cell


(6)
NdHoCo2: relaxed, PBE.

a = 3.399 Å, b = 3.399 Å, c = 6.795 Å
α = 90.00°, β = 90.00°, γ = 90.00°
Space group P4/mmm (No. 123)
Symmetry-distinct sites (fractional):
Nd: 0.000 0.000 0.000 x1
Ho: 0.000 0.000 0.500 x1
Co: 0.500 0.500 0.263 x2

Summary:
ΔH_f (0 K) = -0.0443 eV per atom
Total energy = -23.7 eV/cell


(7)
NdHoCo10: relaxed, PBE.

a = 3.946 Å, b = 4.949 Å, c = 8.612 Å
α = 90.00°, β = 90.00°, γ = 90.00°
Space group Pmmm (No. 47)
Symmetry-distinct sites (fractional):
Nd: 0.000 0.000 0.000 x1
Ho: 0.000 0.500 0.500 x1
Co: 0.000 0.000 0.338 x2
Co: 0.000 0.500 0.175 x2
Co: 0.500 0.000 0.500 x1
Co: 0.500 0.253 0.255 x4
Co: 0.500 0.500 0.000 x1

Summary:
ΔH_f (0 K) = -0.0762 eV per atom
Total energy = -81.3 eV/cell


(8)
NdHoCo: relaxed, PBE.

a = 6.675 Å, b = 6.749 Å, c = 8.073 Å
α = 90.00°, β = 122.74°, γ = 90.00°
Space group P2_1/c (No. 14)
Symmetry-distinct sites (fractional):
Nd: 0.196 0.158 0.419 x4
Ho: 0.306 0.659 0.595 x4
Co: 0.287 0.521 0.281 x4

Summary:
ΔH_f (0 K) = -0.0344 eV per atom
Total energy = -66.2 eV/cell


| no. | magnetic moment (μB per formula unit) |
| --- | --- |
| 1 | 0.0 |
| 2 | 5.7 |
| 3 | 0.9 |
| 4 | 0.0 |
| 5 | 10.6 |
| 6 | 0.9 |
| 7 | 14.2 |
| 8 | 0.0 |